Crystalline LuMg2Cu at its relaxed geometry. Source: OQMD, functional PBE.

Geometry as POSCAR:
```
LuMg2Cu
1.0
-3.8058 -1.1762 2.7272
0.1677 0.6383 4.7822
-2.6512 3.4645 2.0672
Mg Cu Lu
2 1 1
direct
0.7500 0.7500 0.7500
0.0000 0.0000 0.0000
0.2500 0.2500 0.2500
0.5000 0.5000 0.5000
```

Properties
The value obtained for the total energy is -11.55 eV for the cell shown. As for the space-group type: F-43m.



Crystalline LuMgCu2 at its relaxed geometry. Source: OQMD, functional PBE.

Geometry as POSCAR:
```
LuMgCu2
1.0
0.0000 3.2411 3.2411
3.2411 0.0000 3.2411
3.2411 3.2411 0.0000
Cu Lu Mg
2 1 1
direct
0.2500 0.2500 0.2500
0.0000 0.0000 0.0000
0.5000 0.5000 0.5000
0.7500 0.7500 0.7500
```

Properties
The value obtained for the total energy is -13.39 eV for the cell shown. As for the space-group type: F-43m.



Crystalline LuMgCuPb at its relaxed geometry. Source: OQMD, functional PBE.

Geometry as POSCAR:
```
LuMgCuPb
1.0
-1.8209 -3.9918 2.4078
-0.0053 -0.1170 5.0033
-4.3181 0.3443 2.5065
Cu Lu Pb Mg
1 1 1 1
direct
0.7500 0.7500 0.7500
0.2500 0.2500 0.2500
0.0000 0.0000 0.0000
0.5000 0.5000 0.5000
```

Properties
The value obtained for the energy relative to the lowest polymorph listed for this composition is 25.3 meV per atom. As for the space-group type: F-43m.



Crystalline LuMgCuPb at its relaxed geometry. Source: OQMD, functional PBE.

Geometry as POSCAR:
```
LuMgCuPb
1.0
-3.0004 -3.5800 1.7362
-0.5129 -0.6557 4.9133
-4.2836 1.2087 2.2413
Pb Mg Lu Cu
1 1 1 1
direct
0.0000 0.0000 0.0000
0.2500 0.2500 0.2500
0.5000 0.5000 0.5000
0.7500 0.7500 0.7500
```

Properties
The value obtained for the energy relative to the lowest polymorph listed for this composition is 0.0 meV per atom. As for the space-group type: F-43m.



Crystalline LuMgCuSe3 at its relaxed geometry. Source: OQMD, functional PBE.

Geometry as POSCAR:
```
LuMgCuSe3
1.0
-0.9989 3.7433 -0.4542
-8.4473 -3.0587 -6.6307
-6.9891 -0.7432 9.2466
Mg Lu Se Cu
4 4 12 4
direct
0.7500 0.1842 0.9928
0.7500 0.6842 0.5072
0.2500 0.8158 0.0072
0.2500 0.3158 0.4928
0.2500 0.4762 0.1937
0.7500 0.5238 0.8063
0.7500 0.0238 0.6937
0.2500 0.9762 0.3063
0.2500 0.5504 0.6260
0.7500 0.9496 0.1260
0.2500 0.9029 0.5706
0.2500 0.7191 0.3386
0.7500 0.7809 0.8386
0.7500 0.5971 0.0706
0.7500 0.0971 0.4294
0.7500 0.2809 0.6614
0.2500 0.4029 0.9294
0.7500 0.4496 0.3740
0.2500 0.0504 0.8740
0.2500 0.2191 0.1614
0.2500 0.2457 0.7893
0.7500 0.7543 0.2107
0.2500 0.7457 0.7107
0.7500 0.2543 0.2893
```

Properties
The value obtained for the energy relative to the lowest polymorph listed for this composition is 76.7 meV per atom. As for the space-group type: Pnma.



Crystalline LuMgCuSe3 at its relaxed geometry. Source: OQMD, functional PBE.

Geometry as POSCAR:
```
LuMgCuSe3
1.0
-0.7897 7.5381 0.2571
-2.9629 -0.3919 2.3887
5.8011 -1.4470 6.9581
Se Mg Lu Cu
6 2 2 2
direct
0.0569 0.2500 0.3414
0.7324 0.2500 0.9841
0.4066 0.7500 0.6495
0.9431 0.7500 0.6586
0.5934 0.2500 0.3505
0.2676 0.7500 0.0159
0.2105 0.2500 0.7843
0.7895 0.7500 0.2157
0.6832 0.2500 0.6731
0.3168 0.7500 0.3269
0.0818 0.2500 0.0798
0.9182 0.7500 0.9202
```

Properties
The value obtained for the energy relative to the lowest polymorph listed for this composition is 0.0 meV per atom. As for the space-group type: P2_1/m.



Crystalline LuMgCuSe3 at its relaxed geometry. Source: OQMD, functional PBE.

Geometry as POSCAR:
```
LuMgCuSe3
1.0
1.9083 -6.3840 0.0000
1.9083 6.3840 0.0000
0.0000 0.0000 10.4620
Se Mg Cu Lu
6 2 2 2
direct
0.8532 0.1468 0.5747
0.8532 0.1468 0.9253
0.6022 0.3978 0.7500
0.1468 0.8532 0.0747
0.1468 0.8532 0.4253
0.3978 0.6022 0.2500
0.2695 0.7305 0.7500
0.7305 0.2695 0.2500
0.9779 0.0221 0.7500
0.0221 0.9779 0.2500
0.5000 0.5000 0.0000
0.5000 0.5000 0.5000
```

Properties
The value obtained for the energy relative to the lowest polymorph listed for this composition is 22.9 meV per atom. As for the space-group type: Cmcm.



Crystalline LuMgCuTe2Se at its relaxed geometry. Source: OQMD, functional PBE.

Geometry as POSCAR:
```
LuMgCuTe2Se
1.0
4.2715 5.5218 1.3808
-4.5965 -3.0156 -4.5189
-7.9940 4.9820 4.8066
Lu Cu Mg Te Se
2 2 2 4 2
direct
0.5000 0.5000 0.0000
0.5000 0.5000 0.5000
0.9826 0.0174 0.2500
0.0174 0.9826 0.7500
0.2418 0.7582 0.2500
0.7582 0.2418 0.7500
0.8487 0.1513 0.0731
0.1513 0.8487 0.5731
0.8487 0.1513 0.4269
0.1513 0.8487 0.9269
0.5916 0.4084 0.2500
0.4084 0.5916 0.7500
```

Properties
The value obtained for the total energy is -49.22 eV for the cell shown. As for the space-group type: Cmcm.



Crystalline LuMgCuTeSe2 at its relaxed geometry. Source: OQMD, functional PBE.

Geometry as POSCAR:
```
LuMgCuTeSe2
1.0
1.9386 -6.6388 0.0000
1.9386 6.6388 0.0000
0.0000 0.0000 10.7998
Se Mg Cu Lu Te
4 2 2 2 2
direct
0.1403 0.8597 0.4246
0.1403 0.8597 0.0754
0.8597 0.1403 0.9246
0.8597 0.1403 0.5754
0.2976 0.7024 0.7500
0.7024 0.2976 0.2500
0.0229 0.9771 0.2500
0.9771 0.0229 0.7500
0.5000 0.5000 0.0000
0.5000 0.5000 0.5000
0.6120 0.3880 0.7500
0.3880 0.6120 0.2500
```

Properties
The value obtained for the total energy is -52.04 eV for the cell shown. As for the space-group type: Cmcm.



Crystalline LuMgCuSi at its relaxed geometry. Source: OQMD, functional PBE.

Geometry as POSCAR:
```
LuMgCuSi
1.0
0.0000 3.2478 3.2478
3.2478 0.0000 3.2478
3.2478 3.2478 0.0000
Cu Lu Si Mg
1 1 1 1
direct
0.7500 0.7500 0.7500
0.5000 0.5000 0.5000
0.0000 0.0000 0.0000
0.2500 0.2500 0.2500
```

Properties
The value obtained for the energy relative to the lowest polymorph listed for this composition is 47.4 meV per atom. As for the space-group type: F-43m.



Crystalline LuMgCuSi at its relaxed geometry. Source: OQMD, functional PBE.

Geometry as POSCAR:
```
LuMgCuSi
1.0
0.0000 3.2820 3.2820
3.2820 0.0000 3.2820
3.2820 3.2820 0.0000
Mg Si Cu Lu
1 1 1 1
direct
0.5000 0.5000 0.5000
0.0000 0.0000 0.0000
0.7500 0.7500 0.7500
0.2500 0.2500 0.2500
```

Properties
The value obtained for the energy relative to the lowest polymorph listed for this composition is 0.0 meV per atom. As for the space-group type: F-43m.



Crystalline LuMgCuSn at its relaxed geometry. Source: OQMD, functional PBE.

Geometry as POSCAR:
```
LuMgCuSn
1.0
0.7950 -3.9892 -2.7569
0.5225 -4.3961 2.1325
-3.5184 -3.3968 -0.4788
Sn Cu Mg Lu
1 1 1 1
direct
0.0000 0.0000 0.0000
0.7500 0.7500 0.7500
0.5000 0.5000 0.5000
0.2500 0.2500 0.2500
```

Properties
The value obtained for the energy relative to the lowest polymorph listed for this composition is 31.2 meV per atom. As for the space-group type: F-43m.



Number 5 is which compound? LuMgCuSe3